BaSb2Au: optimized geometry, GGA-PBE.

a b c (Å): 4.5477 6.2621 9.0456
angles (deg): 90.00 90.00 90.00
Last column: nearest neighbours and their distance in Å.
Space group Imm2 (No. 44)
Symmetry-distinct sites (fractional):
Ba1 0.0000 0.0000 0.0000 x2  4 Au 3.44-3.69, 4 Sb 3.55-3.61
Sb1 0.0000 0.0000 0.4874 x2  2 Au 2.92, 2 Sb 2.97
Sb2 0.0000 0.5000 0.1983 x2  2 Sb 2.97
Au1 0.0000 0.5000 0.7850 x2  2 Sb 2.92

Output
V in Å³/atom: 32.20
E in eV/cell: -29.98
Uncorrected formation energy in eV per atom: -0.39
ρ in Mg/m³: 7.45
DOS(E_F) in states/eV per cell: 4.1